Record 1
VASP calculation (GGA-PBEsol) on a relaxed structure of SbP2Pb.

## Properties
The calculation puts the uncorrected energy at -19.3 eV/cell. As for the density: 7.53 g/cm3. Its size of the total moment is 0.000 μB/atom. The energy above the lowest structure with this stoichiometry is 0.34 eV per formula unit. The value obtained for the uncorrected formation energy is 0.213 eV per atom. As for the space-group type: Imm2, No. 44.

Cell lengths 3.292, 5.323, 5.830 Å; angles 117.16, 106.40, 90.00 degrees
Positions (direct):
P  0.962  0.962  0.924
P  0.304  0.804  0.608
Sb  0.716  0.216  0.431
Pb  0.518  0.518  0.036

=====

Record 2
VASP calculation (GGA-PBEsol) on a relaxed structure of TlSbP2Pb.

## Properties
The calculation puts the uncorrected energy at -18.9 eV/cell. As for the density: 6.94 g/cm3. Its size of the total moment is 0.000 μB/atom. The value obtained for the uncorrected formation energy is 0.779 eV per atom. As for the space-group type: P4/mmm, No. 123.

Cell lengths 5.085, 5.085, 5.513 Å; angles 90.00, 90.00, 90.00 degrees
Positions (direct):
Tl  0.000  0.000  0.500
P  0.000  0.500  0.000
P  0.500  0.000  0.000
Pb  0.500  0.500  0.500
Sb  0.000  0.000  0.000

=====

Record 3
VASP calculation (GGA-PBEsol) on a relaxed structure of ScPPb2.

## Properties
The calculation puts the uncorrected energy at -20.8 eV/cell. As for the density: 8.94 g/cm3. Its size of the total moment is 0.000 μB/atom. As for the space-group type: I-4m2, No. 119. The formation energy comes out at -0.109 eV per atom.

Cell lengths 4.262, 4.262, 5.852 Å; angles 111.35, 111.35, 90.00 degrees
Positions (direct):
P  0.250  0.750  0.500
Pb  0.750  0.250  0.500
Pb  0.000  0.000  0.000
Sc  0.500  0.500  0.000

=====

Record 4
VASP calculation (GGA-PBEsol) on a relaxed structure of ScPPb2.

## Properties
The calculation puts the uncorrected energy at -20.8 eV/cell. As for the density: 8.97 g/cm3. Its size of the total moment is 0.000 μB/atom. As for the space-group type: Cmmm, No. 65. The formation energy comes out at -0.091 eV per atom.

Cell lengths 3.992, 4.768, 4.768 Å; angles 89.91, 90.00, 90.00 degrees
Positions (direct):
Sc  0.500  0.000  0.000
Pb  0.000  0.500  0.000
Pb  0.000  0.000  0.500
P  0.500  0.500  0.500

=====

Values of calculated volume, in order: 21.6; 28.5; 22.8; 22.7, all in Å³ per atom.